5
Lattice="-1.029 5.489 1.429 -4.386 0.151 -3.737 -3.596 -1.754 4.149" Properties=species:S:1:pos:R:3 comment="La3MgZr (PBE-GGA, relaxed)" e_above_lowest_polymorph_mev_per_atom=0 e_form_ev_per_atom=0.430 dft_energy_ev_per_atom=-4.5546 spacegroup="Pm-3m, No. 221" dos_ef_per_ev_cell=5.3 pbc="T T T"
Mg -4.505 1.943 0.921
Zr 0.000 0.000 0.000
La -2.193 0.075 -1.868
La -1.798 -0.877 2.075
La -0.514 2.744 0.714

5
Lattice="-3.704 -2.334 -2.860 -0.035 -4.029 3.334 -3.692 2.381 2.838" Properties=species:S:1:pos:R:3 comment="LaMgZr3 (PBE-GGA, relaxed)" e_above_lowest_polymorph_mev_per_atom=0 e_form_ev_per_atom=0.873 dft_energy_ev_per_atom=-5.5600 spacegroup="Pm-3m, No. 221" dos_ef_per_ev_cell=9.4 pbc="T T T"
Mg 0.000 0.000 0.000
Zr -0.018 -2.014 1.667
Zr -1.846 1.190 1.419
Zr -1.852 -1.167 -1.430
La -3.716 -1.991 1.656

7
Lattice="-3.933 -0.960 -3.896 2.696 -4.310 2.392 -4.566 -0.262 4.675" Properties=species:S:1:pos:R:3 comment="La4Mn3 (PBE-GGA, relaxed)" e_form_ev_per_atom=0.362 dft_energy_ev_per_atom=-6.3838 spacegroup="P6/mmm, No. 191" dos_ef_per_ev_cell=10.9 pbc="T T T"
La -1.083 -0.062 1.108
La -3.484 -0.200 3.567
La -4.007 -2.208 0.538
La -1.797 -3.325 2.634
Mn 1.348 -2.155 1.196
Mn -0.618 -2.635 -0.752
Mn -1.967 -0.480 -1.948

5
Lattice="-2.625 -2.888 -3.240 1.754 -1.990 4.323 -5.266 1.575 2.862" Properties=species:S:1:pos:R:3 comment="La3Mn2 (PBE-GGA, relaxed)" e_above_lowest_polymorph_mev_per_atom=0 e_form_ev_per_atom=0.284 dft_energy_ev_per_atom=-6.3406 spacegroup="P-3m1, No. 164" dos_ef_per_ev_cell=5.7 pbc="T T T"
La 0.000 0.000 0.000
La -4.567 -1.571 1.130
La -1.570 -1.732 2.815
Mn -1.808 -2.396 -0.369
Mn -4.328 -0.907 4.314

5
Lattice="-1.490 -9.721 -6.952 1.327 -8.533 -8.395 1.533 -10.516 -5.665" Properties=species:S:1:pos:R:3 comment="La2Mn3 (PBE-GGA, relaxed)" e_form_ev_per_atom=0.670 dft_energy_ev_per_atom=-6.8028 spacegroup="R-3m, No. 166" dos_ef_per_ev_cell=6.1 pbc="T T T"
La 0.819 -17.195 -12.558
La 0.552 -11.575 -8.454
Mn 0.000 0.000 0.000
Mn 1.105 -23.196 -16.941
Mn 0.266 -5.574 -4.071

5
Lattice="4.776 0.000 0.000 0.000 4.776 0.000 0.000 0.000 4.776" Properties=species:S:1:pos:R:3 comment="LaMn4 (PBE-GGA, relaxed)" e_form_ev_per_atom=1.740 dft_energy_ev_per_atom=-6.5814 spacegroup="Pm-3m, No. 221" dos_ef_per_ev_cell=6.8 pbc="T T T"
Mn 0.000 0.000 0.000
Mn 2.388 0.000 2.388
Mn 0.000 2.388 2.388
Mn 2.388 2.388 0.000
La 2.388 2.388 2.388